{"formula": "Ba3Nb2ZnO9", "functional": "SCAN", "state": "PBEsol geometry", "lattice": [[5.792, 0.000, 0.000], [-2.896, 5.016, 0.000], [0.000, 0.000, 7.116]], "species": ["Ba", "Ba", "Ba", "Nb", "Nb", "Zn", "O", "O", "O", "O", "O", "O", "O", "O", "O"], "frac_coords": [[0.333, 0.667, 0.664], [0.667, 0.333, 0.336], [0.000, 0.000, 0.000], [0.667, 0.333, 0.822], [0.333, 0.667, 0.178], [0.000, 0.000, 0.500], [0.171, 0.342, 0.326], [0.171, 0.829, 0.326], [0.658, 0.829, 0.326], [0.342, 0.171, 0.674], [0.829, 0.171, 0.674], [0.829, 0.658, 0.674], [0.500, 0.500, 0.000], [0.000, 0.500, 0.000], [0.500, 0.000, 0.000]], "density_g_cm3": 6.48, "formation_energy_uncorrected_ev_per_atom": -2.920, "dos_at_fermi_per_ev_cell": 0.00}

---

{"formula": "Ba3ZrNb5O12", "functional": "SCAN", "state": "PBEsol geometry", "lattice": [[5.918, 0.000, 0.000], [0.000, 5.918, 0.000], [0.000, 0.000, 16.439]], "species": ["Ba", "Ba", "Ba", "Ba", "Ba", "Ba", "Zr", "Zr", "Nb", "Nb", "Nb", "Nb", "Nb", "Nb", "Nb", "Nb", "Nb", "Nb", "O", "O", "O", "O", "O", "O", "O", "O", "O", "O", "O", "O", "O", "O", "O", "O", "O", "O", "O", "O", "O", "O", "O", "O"], "frac_coords": [[0.000, 0.000, 0.500], [0.500, 0.500, 0.500], [0.000, 0.000, 0.753], [0.500, 0.500, 0.753], [0.000, 0.000, 0.247], [0.500, 0.500, 0.247], [0.000, 0.500, 0.626], [0.500, 0.000, 0.374], [0.500, 0.000, 0.878], [0.000, 0.500, 0.878], [0.500, 0.000, 0.122], [0.000, 0.500, 0.122], [0.250, 0.750, 0.000], [0.750, 0.250, 0.000], [0.250, 0.250, 0.000], [0.750, 0.750, 0.000], [0.500, 0.000, 0.627], [0.000, 0.500, 0.373], [0.250, 0.750, 0.871], [0.750, 0.250, 0.871], [0.250, 0.250, 0.871], [0.750, 0.750, 0.871], [0.250, 0.750, 0.129], [0.750, 0.250, 0.129], [0.250, 0.250, 0.129], [0.750, 0.750, 0.129], [0.500, 0.000, 0.747], [0.000, 0.500, 0.749], [0.500, 0.000, 0.251], [0.000, 0.500, 0.253], [0.500, 0.000, 0.503], [0.000, 0.500, 0.497], [0.254, 0.754, 0.624], [0.746, 0.246, 0.624], [0.254, 0.246, 0.624], [0.746, 0.754, 0.624], [0.246, 0.746, 0.376], [0.754, 0.254, 0.376], [0.246, 0.254, 0.376], [0.754, 0.746, 0.376], [0.000, 0.000, 0.000], [0.500, 0.500, 0.000]], "density_g_cm3": 6.69, "formation_energy_uncorrected_ev_per_atom": -2.932, "dos_at_fermi_per_ev_cell": 4.95}